# Rb2PuPbF6

An optimized crystal structure of Rb2PuPbF6 (PBE, the Alexandria database).

Cell and atoms, written as CIF:
```
data_Rb2PuPbF6
_space_group_name_H-M_alt 'F m -3 m'
_space_group_IT_number 225
_space_group_name_Hall '-F 4 2 3'
_cell_length_a 9.7454
_cell_length_b 9.7454
_cell_length_c 9.7454
_cell_angle_alpha 90.00
_cell_angle_beta 90.00
_cell_angle_gamma 90.00
loop_
_atom_site_label
_atom_site_fract_x
_atom_site_fract_y
_atom_site_fract_z
_atom_site_occupancy
Rb1 0.2500 0.2500 0.2500 1
Pu1 0.0000 0.0000 0.0000 1
Pb1 0.0000 0.0000 0.5000 1
F1 0.0000 0.0000 0.2403 1
```

Summary:
E_form (uncorrected) = -2.698 eV/atom